No. 1
A plane-wave DFT calculation with PBE-GGA was carried out for Li2AlOs after structural relaxation.

The structure belongs to space group Immm (No. 71); the cell edges are 2.7892, 4.3034 and 9.3287 Å and the angles 90.00°, 90.00° and 90.00°. Symmetry generates all atoms from Li at (0.0000, 0.0000, 0.2493), Al at (0.0000, 0.5000, 0.0000) and Os at (0.0000, 0.5000, 0.5000).

Its electronic total energy is -4.813 eV per atom. The calculation puts the magnetization at 0.00 Bohr magnetons per cell.

No. 2
A plane-wave DFT calculation with PBE-GGA was carried out for Li2AlOs after structural relaxation.

The structure belongs to space group R-3m (No. 166, hexagonal axes); the cell edges are 2.6936, 2.6936 and 27.7372 Å and the angles 90.00°, 90.00° and 120.00°. Symmetry generates all atoms from Li at (0.0000, 0.0000, 0.2467), Al at (0.0000, 0.0000, 0.0000) and Os at (0.0000, 0.0000, 0.5000).

Its electronic total energy is -4.606 eV per atom. The calculation puts the magnetization at 0.54 Bohr magnetons per cell.

No. 3
A plane-wave DFT calculation with PBE-GGA was carried out for LiAlOs2 after structural relaxation.

The structure belongs to space group Cmmm (No. 65); the cell edges are 5.1453, 7.9719 and 2.7101 Å and the angles 90.00°, 90.00° and 90.00°. Symmetry generates all atoms from Li at (0.0000, 0.0000, 0.0000), Al at (0.0000, 0.5000, 0.0000) and Os at (0.2500, 0.2500, 0.5000).

Its electronic total energy is -6.860 eV per atom. The calculation puts the magnetization at 0.00 Bohr magnetons per cell.

No. 4
A plane-wave DFT calculation with PBE-GGA was carried out for Li2AlOs after structural relaxation.

The structure belongs to space group P4mm (No. 99); the cell edges are 3.0046, 3.0046 and 6.3807 Å and the angles 90.00°, 90.00° and 90.00°. Symmetry generates all atoms from Li at (0.0000, 0.0000, 0.0000), Li at (0.5000, 0.5000, 0.2552), Al at (0.5000, 0.5000, 0.7180) and Os at (0.0000, 0.0000, 0.4984).

Its electronic total energy is -4.664 eV per atom. The calculation puts the magnetization at 0.00 Bohr magnetons per cell.

No. 5
A plane-wave DFT calculation with PBE-GGA was carried out for LiAlOs2 after structural relaxation.

The structure belongs to space group I4/mmm (No. 139); the cell edges are 3.7240, 3.7240 and 7.9663 Å and the angles 90.00°, 90.00° and 90.00°. Symmetry generates all atoms from Li at (0.0000, 0.0000, 0.0000), Al at (0.0000, 0.0000, 0.5000) and Os at (0.0000, 0.5000, 0.2500).

Its electronic total energy is -6.883 eV per atom. The calculation puts the magnetization at 0.00 Bohr magnetons per cell.

No. 6
A plane-wave DFT calculation with PBE-GGA was carried out for LiAlOs2 after structural relaxation.

The structure belongs to space group Cm (No. 8); the cell edges are 8.8714, 2.7698 and 4.5945 Å and the angles 90.00°, 98.64° and 90.00°. Symmetry generates all atoms from Li at (0.0000, 0.0000, 0.0000), Al at (0.2593, 0.5000, 0.2100), Os at (0.2398, 0.0000, 0.7061) and Os at (0.4990, 0.0000, 0.5069).

Its electronic total energy is -7.017 eV per atom. The calculation puts the magnetization at 0.00 Bohr magnetons per cell.

No. 7
A plane-wave DFT calculation with PBE-GGA was carried out for LiAl6Os5 after structural relaxation.

The structure belongs to space group Immm (No. 71); the cell edges are 4.2407, 6.1784 and 12.6454 Å and the angles 90.00°, 90.00° and 90.00°. Symmetry generates all atoms from Li at (0.0000, 0.0000, 0.0000), Al at (0.0000, 0.2390, 0.5000), Al at (0.0000, 0.2554, 0.1706), Os at (0.0000, 0.0000, 0.3341), Os at (0.0000, 0.5000, 0.0000) and Os at (0.0000, 0.5000, 0.3407).

Its electronic total energy is -7.093 eV per atom. The calculation puts the magnetization at 0.00 Bohr magnetons per cell.

No. 8
A plane-wave DFT calculation with PBE-GGA was carried out for Li2AlOs after structural relaxation.

The structure belongs to space group Pmmm (No. 47); the cell edges are 2.5840, 4.4259 and 5.0425 Å and the angles 90.00°, 90.00° and 90.00°. Symmetry generates all atoms from Li at (0.0000, 0.0000, 0.2287), Al at (0.5000, 0.5000, 0.5000) and Os at (0.5000, 0.5000, 0.0000).

Its electronic total energy is -4.632 eV per atom. The calculation puts the magnetization at 0.00 Bohr magnetons per cell.

No. 9
A plane-wave DFT calculation with PBE-GGA was carried out for LiAlOs2 after structural relaxation.

The structure belongs to space group Pmm2 (No. 25); the cell edges are 2.8010, 3.6090 and 5.4803 Å and the angles 90.00°, 90.00° and 90.00°. Symmetry generates all atoms from Li at (0.0000, 0.0000, 0.0000), Al at (0.5000, 0.5000, 0.7680), Os at (0.0000, 0.0000, 0.4910) and Os at (0.5000, 0.5000, 0.2595).

Its electronic total energy is -7.048 eV per atom. The calculation puts the magnetization at 0.00 Bohr magnetons per cell.

No. 10
A plane-wave DFT calculation with PBE-GGA was carried out for LiAlOs2 after structural relaxation.

The structure belongs to space group Pmmm (No. 47); the cell edges are 2.8816, 4.2742 and 4.4682 Å and the angles 90.00°, 90.00° and 90.00°. Symmetry generates all atoms from Li at (0.0000, 0.0000, 0.0000), Al at (0.5000, 0.0000, 0.5000), Os at (0.0000, 0.5000, 0.5000) and Os at (0.5000, 0.5000, 0.0000).

Its electronic total energy is -6.999 eV per atom. The calculation puts the magnetization at 0.00 Bohr magnetons per cell.

No. 11
A plane-wave DFT calculation with PBE-GGA was carried out for LiAlOs2 after structural relaxation.

The structure belongs to space group Immm (No. 71); the cell edges are 2.9086, 4.4733 and 8.4681 Å and the angles 90.00°, 90.00° and 90.00°. Symmetry generates all atoms from Li at (0.0000, 0.0000, 0.0000), Al at (0.0000, 0.0000, 0.5000) and Os at (0.0000, 0.5000, 0.2452).

Its electronic total energy is -7.027 eV per atom. The calculation puts the magnetization at 0.00 Bohr magnetons per cell.

No. 12
A plane-wave DFT calculation with PBE-GGA was carried out for LiAlOs2 after structural relaxation.

The structure belongs to space group R-3m (No. 166, hexagonal axes); the cell edges are 2.7588, 2.7588 and 25.7020 Å and the angles 90.00°, 90.00° and 120.00°. Symmetry generates all atoms from Li at (0.0000, 0.0000, 0.0000), Al at (0.0000, 0.0000, 0.5000) and Os at (0.0000, 0.0000, 0.2459).

Its electronic total energy is -7.032 eV per atom. The calculation puts the magnetization at 0.00 Bohr magnetons per cell.